ZrCd11 | GGA-PBE | optimized geometry

Electronic total energy   -1.54 eV per atom
Density   8.21 g cm⁻³
Total magnetization   0.000 μB/f.u.

abc: 10.2099 10.2099 2.9730
angles: 90.00 90.00 120.00
With the nearest neighbours (Å) after each atom.
Space group P6/mmm (No. 191)
Unique sites:
Zr  0.0000  0.0000  0.0000 x1  2 Zr 2.97, 12 Cd 3.33
Cd  0.0000  0.5000  0.0000 x3  12 Cd 2.95-3.29
Cd  0.1682  0.3364  0.5000 x6  10 Cd 2.97-3.29, 2 Zr 3.33
Cd  0.3333  0.6667  0.0000 x2  11 Cd 2.95-3.28